DFT (GGA-PBE) results for crystalline Rb2Pu2TiSe6 at its relaxed geometry.

Cell lengths 7.065, 12.106, 8.525 Å; angles 90.00, 106.59, 90.00 degrees
Space group C2/m (No. 12)
One atom of each set of equivalent atoms:
Rb: 0.000 0.171 0.000 (multiplicity 4)
Pu: 0.000 0.333 0.500 (multiplicity 4)
Ti: 0.000 0.000 0.500 (multiplicity 2)
Se: 0.221 0.154 0.687 (multiplicity 8)
Se: 0.243 0.000 0.314 (multiplicity 4)

Properties
energy relative to the elements, uncorrected = -1338 meV per atom
DOS at the Fermi energy = 2.04 states/eV per atom
total magnetic moment = 20.0 μB/cell
raw total energy = -6.74 eV per atom